# 1
A relaxed structure of Li3CaCl, computed with GGA-PBE.

```
data_Li3CaCl
_space_group_name_H-M_alt 'P m -3 m'
_space_group_IT_number 221
_space_group_name_Hall '-P 4 2 3'
_cell_length_a 5.0389
_cell_length_b 5.0389
_cell_length_c 5.0389
_cell_angle_alpha 90.00
_cell_angle_beta 90.00
_cell_angle_gamma 90.00
loop_
_atom_site_label
_atom_site_type_symbol
_atom_site_fract_x
_atom_site_fract_y
_atom_site_fract_z
_atom_site_occupancy
Li1 Li 0.0000 0.0000 0.5000 1
Ca1 Ca 0.5000 0.5000 0.5000 1
Cl1 Cl 0.0000 0.0000 0.0000 1
```

Calculated values
Size of the total moment (μB/atom): 0.000
Density (kg/m3): 1251
Distance to the lowest polymorph of the same formula (eV/f.u.): 0.00
Raw formation energy (meV per atom): -446



# 2
A relaxed structure of Li2CaCl, computed with GGA-PBE.

```
data_Li2CaCl
_space_group_name_H-M_alt 'R -3 m'
_space_group_IT_number 166
_space_group_name_Hall '-R 3 2"'
_cell_length_a 3.6594
_cell_length_b 3.6594
_cell_length_c 27.0767
_cell_angle_alpha 90.00
_cell_angle_beta 90.00
_cell_angle_gamma 120.00
loop_
_atom_site_label
_atom_site_type_symbol
_atom_site_fract_x
_atom_site_fract_y
_atom_site_fract_z
_atom_site_occupancy
Li1 Li 0.0000 0.0000 0.2209 1
Ca1 Ca 0.0000 0.0000 0.0000 1
Cl1 Cl 0.0000 0.0000 0.5000 1
```

Calculated values
Size of the total moment (μB/atom): 0.000
Density (kg/m3): 1418
Distance to the lowest polymorph of the same formula (eV/f.u.): 0.00
Raw formation energy (meV per atom): -768



# 3
A relaxed structure of LiCa2Cl, computed with GGA-PBE.

```
data_LiCa2Cl
_space_group_name_H-M_alt 'P 4 m m'
_space_group_IT_number 99
_cell_length_a 4.2856
_cell_length_b 4.2856
_cell_length_c 6.6570
_cell_angle_alpha 90.00
_cell_angle_beta 90.00
_cell_angle_gamma 90.00
loop_
_space_group_symop_operation_xyz
'x,y,z'
'-y,x,z'
'-x,-y,z'
'y,-x,z'
'-x,y,z'
'y,x,z'
'x,-y,z'
'-y,-x,z'
loop_
_atom_site_label
_atom_site_type_symbol
_atom_site_fract_x
_atom_site_fract_y
_atom_site_fract_z
_atom_site_occupancy
Li1 Li 0.0000 0.0000 0.0000 1
Ca1 Ca 0.0000 0.0000 0.4840 1
Ca2 Ca 0.5000 0.5000 0.9196 1
Cl1 Cl 0.5000 0.5000 0.4875 1
```

Calculated values
Size of the total moment (μB/atom): 0.194
Density (kg/m3): 1664
Distance to the lowest polymorph of the same formula (eV/f.u.): 0.52
Raw formation energy (meV per atom): -623



# 4
A relaxed structure of Li2CaCl, computed with GGA-PBE.

```
data_Li2CaCl
_space_group_name_H-M_alt 'P 4 m m'
_space_group_IT_number 99
_cell_length_a 3.6784
_cell_length_b 3.6784
_cell_length_c 9.0038
_cell_angle_alpha 90.00
_cell_angle_beta 90.00
_cell_angle_gamma 90.00
loop_
_space_group_symop_operation_xyz
'x,y,z'
'-y,x,z'
'-x,-y,z'
'y,-x,z'
'-x,y,z'
'y,x,z'
'x,-y,z'
'-y,-x,z'
loop_
_atom_site_label
_atom_site_type_symbol
_atom_site_fract_x
_atom_site_fract_y
_atom_site_fract_z
_atom_site_occupancy
Li1 Li 0.0000 0.0000 0.0000 1
Li2 Li 0.5000 0.5000 0.1415 1
Ca1 Ca 0.0000 0.0000 0.3960 1
Cl1 Cl 0.5000 0.5000 0.5374 1
```

Calculated values
Size of the total moment (μB/atom): 0.000
Density (kg/m3): 1219
Distance to the lowest polymorph of the same formula (eV/f.u.): 0.33
Raw formation energy (meV per atom): -687



# 5
A relaxed structure of LiCa2Cl, computed with GGA-PBE.

```
data_LiCa2Cl
_space_group_name_H-M_alt 'C m m m'
_space_group_IT_number 65
_space_group_name_Hall '-C 2 2'
_cell_length_a 4.0233
_cell_length_b 6.3016
_cell_length_c 9.5392
_cell_angle_alpha 90.00
_cell_angle_beta 90.00
_cell_angle_gamma 90.00
loop_
_atom_site_label
_atom_site_type_symbol
_atom_site_fract_x
_atom_site_fract_y
_atom_site_fract_z
_atom_site_occupancy
Li1 Li 0.0000 0.0000 0.0000 1
Ca1 Ca 0.0000 0.5000 0.2694 1
Cl1 Cl 0.0000 0.0000 0.5000 1
```

Calculated values
Size of the total moment (μB/atom): 0.000
Density (kg/m3): 1683
Distance to the lowest polymorph of the same formula (eV/f.u.): 0.29
Raw formation energy (meV per atom): -681



# 6
A relaxed structure of Li2CaMgCl6, computed with GGA-PBE.

```
data_Li2CaMgCl6
_space_group_name_H-M_alt 'R 3'
_space_group_IT_number 146
_space_group_name_Hall 'R 3'
_cell_length_a 6.5436
_cell_length_b 6.5436
_cell_length_c 17.9620
_cell_angle_alpha 90.00
_cell_angle_beta 90.00
_cell_angle_gamma 120.00
loop_
_atom_site_label
_atom_site_type_symbol
_atom_site_fract_x
_atom_site_fract_y
_atom_site_fract_z
_atom_site_occupancy
Li1 Li 0.0000 0.0000 0.0000 1
Li2 Li 0.0000 0.0000 0.4968 1
Ca1 Ca 0.0000 0.0000 0.1973 1
Mg1 Mg 0.0000 0.0000 0.6933 1
Cl1 Cl 0.0118 0.3389 0.7640 1
Cl2 Cl 0.0191 0.7083 0.6029 1
```

Calculated values
Size of the total moment (μB/atom): 0.000
Density (kg/m3): 2176
Raw formation energy (meV per atom): -1975



# 7
A relaxed structure of LiCaMnCl5, computed with GGA-PBE.

```
data_LiCaMnCl5
_space_group_name_H-M_alt 'C 1 2/c 1'
_space_group_IT_number 15
_cell_length_a 10.3383
_cell_length_b 10.4436
_cell_length_c 10.2041
_cell_angle_alpha 90.00
_cell_angle_beta 119.22
_cell_angle_gamma 90.00
loop_
_space_group_symop_operation_xyz
'x,y,z'
'-x,-y,-z'
'-x,y,-z+1/2'
'x,-y,z+1/2'
'x+1/2,y+1/2,z'
'-x+1/2,-y+1/2,-z'
'-x+1/2,y+1/2,-z+1/2'
'x+1/2,-y+1/2,z+1/2'
loop_
_atom_site_label
_atom_site_type_symbol
_atom_site_fract_x
_atom_site_fract_y
_atom_site_fract_z
_atom_site_occupancy
Li1 Li 0.0000 0.1887 0.2500 1
Ca1 Ca 0.0000 0.5000 0.0000 1
Mn1 Mn 0.0000 0.1282 0.7500 1
Cl1 Cl 0.0000 0.4117 0.2500 1
Cl2 Cl 0.0233 0.2428 0.9574 1
Cl3 Cl 0.1921 0.0307 0.3384 1
```

Calculated values
Size of the total moment (μB/atom): 0.625
Density (kg/m3): 1929
Raw formation energy (meV per atom): -1727



# 8
A relaxed structure of Li2CaMnCl8, computed with GGA-PBE.

```
data_Li2CaMnCl8
_space_group_name_H-M_alt 'P -1'
_space_group_IT_number 2
_cell_length_a 6.3742
_cell_length_b 6.7519
_cell_length_c 7.8615
_cell_angle_alpha 68.88
_cell_angle_beta 86.62
_cell_angle_gamma 77.96
loop_
_space_group_symop_operation_xyz
'x,y,z'
'-x,-y,-z'
loop_
_atom_site_label
_atom_site_type_symbol
_atom_site_fract_x
_atom_site_fract_y
_atom_site_fract_z
_atom_site_occupancy
Li1 Li 0.0313 0.1634 0.3062 1
Ca1 Ca 0.5000 0.5000 0.5000 1
Mn1 Mn 0.5000 0.5000 0.0000 1
Cl1 Cl 0.1210 0.7789 0.4328 1
Cl2 Cl 0.1835 0.7386 0.9636 1
Cl3 Cl 0.3615 0.3136 0.8574 1
Cl4 Cl 0.3868 0.2814 0.2795 1
```

Calculated values
Size of the total moment (μB/atom): 0.256
Density (kg/m3): 2112
Raw formation energy (meV per atom): -1514



# 9
A relaxed structure of LiCaMnCl6, computed with GGA-PBE.

```
data_LiCaMnCl6
_space_group_name_H-M_alt 'P 42 n m'
_space_group_IT_number 102
_cell_length_a 6.3496
_cell_length_b 6.3496
_cell_length_c 11.1382
_cell_angle_alpha 90.00
_cell_angle_beta 90.00
_cell_angle_gamma 90.00
loop_
_space_group_symop_operation_xyz
'x,y,z'
'-y+1/2,x+1/2,z+1/2'
'-x,-y,z'
'y+1/2,-x+1/2,z+1/2'
'-x+1/2,y+1/2,z+1/2'
'y,x,z'
'x+1/2,-y+1/2,z+1/2'
'-y,-x,z'
loop_
_atom_site_label
_atom_site_type_symbol
_atom_site_fract_x
_atom_site_fract_y
_atom_site_fract_z
_atom_site_occupancy
Li1 Li 0.0000 0.0000 0.0000 1
Ca1 Ca 0.0000 0.0000 0.3185 1
Mn1 Mn 0.0000 0.0000 0.6627 1
Cl1 Cl 0.1753 0.1753 0.8156 1
Cl2 Cl 0.1819 0.1819 0.5170 1
Cl3 Cl 0.2046 0.2046 0.1487 1
```

Calculated values
Size of the total moment (μB/atom): 0.444
Density (kg/m3): 2327
Raw formation energy (meV per atom): -1581



# 10
A relaxed structure of Li2CaMoCl8, computed with GGA-PBE.

```
data_Li2CaMoCl8
_space_group_name_H-M_alt 'P -1'
_space_group_IT_number 2
_cell_length_a 6.4249
_cell_length_b 6.7388
_cell_length_c 7.9321
_cell_angle_alpha 71.84
_cell_angle_beta 88.12
_cell_angle_gamma 78.02
loop_
_space_group_symop_operation_xyz
'x,y,z'
'-x,-y,-z'
loop_
_atom_site_label
_atom_site_type_symbol
_atom_site_fract_x
_atom_site_fract_y
_atom_site_fract_z
_atom_site_occupancy
Li1 Li 0.0483 0.1469 0.3155 1
Ca1 Ca 0.5000 0.5000 0.5000 1
Mo1 Mo 0.5000 0.5000 0.0000 1
Cl1 Cl 0.1179 0.7704 0.4395 1
Cl2 Cl 0.1576 0.7235 0.9622 1
Cl3 Cl 0.3819 0.2907 0.8426 1
Cl4 Cl 0.3918 0.2702 0.2824 1
```

Calculated values
Size of the total moment (μB/atom): 0.167
Density (kg/m3): 2256
Raw formation energy (meV per atom): -1524



# 11
A relaxed structure of LiCaNCl2, computed with GGA-PBE.

```
data_LiCaNCl2
_space_group_name_H-M_alt 'P 4/m m m'
_space_group_IT_number 123
_space_group_name_Hall '-P 4 2'
_cell_length_a 4.3233
_cell_length_b 4.3233
_cell_length_c 5.9362
_cell_angle_alpha 90.00
_cell_angle_beta 90.00
_cell_angle_gamma 90.00
loop_
_atom_site_label
_atom_site_type_symbol
_atom_site_fract_x
_atom_site_fract_y
_atom_site_fract_z
_atom_site_occupancy
Li1 Li 0.0000 0.0000 0.0000 1
Ca1 Ca 0.0000 0.0000 0.5000 1
N1 N 0.5000 0.5000 0.5000 1
Cl1 Cl 0.0000 0.5000 0.0000 1
```

Calculated values
Size of the total moment (μB/atom): 0.395
Density (kg/m3): 1974
Raw formation energy (meV per atom): -170



| no. | VASP energy (eV per atom) |
| --- | --- |
| 1 | -2.364 |
| 2 | -2.687 |
| 3 | -2.564 |
| 4 | -2.606 |
| 5 | -2.622 |
| 6 | -3.825 |
| 7 | -4.517 |
| 8 | -3.995 |
| 9 | -4.266 |
| 10 | -4.144 |
| 11 | -3.357 |